First-principles (GGA+U) data for a geometry-optimized Ba3Pu2CrO9 structure, as listed in Alexandria via LeMat-Bulk.

calculated total energy = -128.05 eV/cell

Unit cell a=6.0144 b=6.0144 c=7.4177 alpha=90.00 beta=90.00 gamma=120.00
Space group P-3m1 (No. 164)
One atom of each set of equivalent atoms:
Ba1 0.0000 0.0000 0.0000 (multiplicity 1)
Ba2 0.3333 0.6667 0.6560 (multiplicity 2)
Pu1 0.3333 0.6667 0.1775 (multiplicity 2)
Cr1 0.0000 0.0000 0.5000 (multiplicity 1)
O1 0.0000 0.5000 0.0000 (multiplicity 3)
O2 0.1615 0.3230 0.3400 (multiplicity 6)